Ba4Nb2O9: relaxed, PBE.

Properties
SG: P6_3/m (176)
formation energy from raw total energies: -2.808 eV/atom
V: 553.60 Å³/cell

```
30
Lattice="6.1779 0.0000 0.0000 -3.0890 5.3502 0.0000 0.0000 0.0000 16.7488" Properties=species:S:1:pos:R:3 pbc="T T T"
Ba 0.0000 0.0000 0.0000
Ba 0.0000 0.0000 4.1872
Ba 0.0000 0.0000 8.3744
Ba 0.0000 0.0000 12.5616
Ba 0.0000 3.5668 2.2816
Ba 0.0000 3.5668 6.0928
Ba 3.0890 1.7834 10.6560
Ba 3.0890 1.7834 14.4672
Nb 0.0000 3.5668 11.0337
Nb 0.0000 3.5668 14.0895
Nb 3.0890 1.7834 2.6593
Nb 3.0890 1.7834 5.7151
O -1.5075 3.0737 12.5616
O -0.4471 1.9075 10.1832
O -0.4471 1.9075 14.9400
O -1.2135 4.7837 10.1832
O -1.2135 4.7837 14.9400
O 1.4284 1.3409 1.8088
O 1.4284 1.3409 6.5656
O 1.1807 2.5079 12.5616
O 2.7622 0.2314 4.1872
O 0.3267 5.1189 12.5616
O 1.9082 2.8424 4.1872
O 1.6606 4.0093 10.1832
O 1.6606 4.0093 14.9400
O 4.3024 0.5666 1.8088
O 4.3024 0.5666 6.5656
O 3.5360 3.4428 1.8088
O 3.5360 3.4428 6.5656
O 4.5964 2.2765 4.1872
```

***

Ba4Nb14O23: relaxed, PBE.

Properties
SG: Cmmm (65)
formation energy from raw total energies: -2.430 eV/atom
V: 559.05 Å³/cell

```
41
Lattice="6.3097 -10.5417 0.0000 6.3097 10.5417 0.0000 0.0000 0.0000 4.2024" Properties=species:S:1:pos:R:3 pbc="T T T"
Ba 2.1387 2.1452 0.0000
Ba 2.1387 -2.1452 0.0000
Ba 10.4807 2.1452 0.0000
Ba 10.4807 -2.1452 0.0000
Nb 0.0000 0.0000 2.1012
Nb 4.2948 4.2321 2.1012
Nb 6.3097 6.2769 2.1012
Nb 6.3097 4.2941 0.0000
Nb 4.2527 0.0000 2.1012
Nb 6.3097 2.0971 2.1012
Nb 8.3246 4.2321 2.1012
Nb 6.3097 0.0000 0.0000
Nb 4.2948 -4.2321 2.1012
Nb 6.3097 -2.0971 2.1012
Nb 8.3667 0.0000 2.1012
Nb 6.3097 -4.2941 0.0000
Nb 6.3097 -6.2769 2.1012
Nb 8.3246 -4.2321 2.1012
O 0.0000 0.0000 0.0000
O 4.2110 6.3539 2.1012
O 6.3097 8.5194 2.1012
O 4.2091 4.1446 0.0000
O 2.0407 0.0000 2.1012
O 6.3097 6.4061 0.0000
O 4.1695 2.1012 2.1012
O 4.1622 0.0000 0.0000
O 8.4085 6.3539 2.1012
O 6.3097 2.1148 0.0000
O 4.1695 -2.1012 2.1012
O 8.4103 4.1446 0.0000
O 4.2091 -4.1446 0.0000
O 8.4499 2.1012 2.1012
O 6.3097 -2.1148 0.0000
O 4.2110 -6.3539 2.1012
O 8.4573 0.0000 0.0000
O 8.4499 -2.1012 2.1012
O 6.3097 -6.4061 0.0000
O 10.5788 0.0000 2.1012
O 8.4103 -4.1446 0.0000
O 6.3097 -8.5194 2.1012
O 8.4085 -6.3539 2.1012
```

***

BaNb2O7: relaxed, PBE.

Properties
SG: Cmmm (65)
formation energy from raw total energies: -2.267 eV/atom
V: 135.92 Å³/cell

```
10
Lattice="3.2115 -5.3008 0.0000 3.2115 5.3008 0.0000 0.0000 0.0000 3.9922" Properties=species:S:1:pos:R:3 pbc="T T T"
Ba 0.0000 0.0000 0.0000
Nb 3.2115 2.1072 1.9961
Nb 3.2115 -2.1072 1.9961
O 1.2772 1.4829 1.9961
O 3.2115 2.2538 0.0000
O 1.2772 -1.4829 1.9961
O 3.2115 0.0000 1.9961
O 5.1459 1.4829 1.9961
O 3.2115 -2.2538 0.0000
O 5.1459 -1.4829 1.9961
```

***

BaNb3O: relaxed, PBE.

Properties
SG: Pm-3m (221)
formation energy from raw total energies: 0.168 eV/atom
V: 93.95 Å³/cell

```
5
Lattice="4.5461 0.0000 0.0000 0.0000 4.5461 0.0000 0.0000 0.0000 4.5461" Properties=species:S:1:pos:R:3 pbc="T T T"
Ba 0.0000 0.0000 0.0000
Nb 0.0000 2.2731 2.2731
Nb 2.2731 0.0000 2.2731
Nb 2.2731 2.2731 0.0000
O 2.2731 2.2731 2.2731
```

***

BaNbO4: relaxed, PBE.

Properties
SG: I4_1/a (88)
formation energy from raw total energies: -2.393 eV/atom
V: 209.68 Å³/cell

```
12
Lattice="-2.8965 2.8965 6.2483 2.8965 -2.8965 6.2483 2.8965 2.8965 -6.2483" Properties=species:S:1:pos:R:3 pbc="T T T"
Ba 0.0000 1.4482 1.5621
Ba 2.8965 1.4482 4.6862
Nb 2.8965 1.4482 -1.5621
Nb 0.0000 1.4482 7.8104
O 1.6025 0.5636 -0.5100
O 2.0119 -0.1543 2.6141
O 2.0119 2.7422 -2.6141
O 1.2939 -0.5636 5.7383
O 1.6025 3.4601 0.5100
O 0.8846 0.1543 8.8624
O 0.8846 3.0508 3.6342
O 1.2939 2.3328 6.7583
```

***

BaNbO2: relaxed, PBE.

Properties
SG: Fm-3m (225)
formation energy from raw total energies: -0.906 eV/atom
V: 60.00 Å³/cell

```
4
Lattice="0.0000 3.1073 3.1073 3.1073 0.0000 3.1073 3.1073 3.1073 0.0000" Properties=species:S:1:pos:R:3 pbc="T T T"
Ba 0.0000 0.0000 0.0000
Nb 3.1073 3.1073 3.1073
O 1.5536 1.5536 1.5536
O 4.6609 4.6609 4.6609
```